Entry from Alexandria: a geometry-optimized Li2MgOsO6 structure (PBE-GGA).

## Properties
The crystal system is monoclinic.

Lattice parameters (Å, degrees): 5.140 5.318 9.061 90.00 124.43 90.00
Fractional coordinates of all 20 atoms:
Li (0.242, 0.038, 0.245)
Li (0.242, 0.462, 0.745)
Li (0.758, 0.538, 0.255)
Li (0.758, 0.962, 0.755)
Mg (0.000, 0.000, 0.500)
Mg (0.000, 0.500, 0.000)
Os (0.500, 0.000, 0.000)
Os (0.500, 0.500, 0.500)
O (0.148, 0.049, 0.764)
O (0.148, 0.451, 0.264)
O (0.249, 0.671, 0.555)
O (0.249, 0.829, 0.055)
O (0.407, 0.198, 0.567)
O (0.407, 0.302, 0.067)
O (0.593, 0.698, 0.933)
O (0.593, 0.802, 0.433)
O (0.751, 0.171, 0.945)
O (0.751, 0.329, 0.445)
O (0.852, 0.549, 0.736)
O (0.852, 0.951, 0.236)



Entry from Alexandria: a geometry-optimized Li2MgP2O7 structure (PBE-GGA).

## Properties
The crystal system is trigonal.

Lattice parameters (Å, degrees): 7.358 7.358 7.358 39.99 39.99 39.99
Fractional coordinates of all 12 atoms:
Li (0.245, 0.245, 0.245)
Li (0.755, 0.755, 0.755)
Mg (0.500, 0.500, 0.500)
P (0.079, 0.079, 0.079)
P (0.921, 0.921, 0.921)
O (0.000, 0.000, 0.000)
O (0.131, 0.375, 0.793)
O (0.207, 0.625, 0.869)
O (0.375, 0.793, 0.131)
O (0.625, 0.869, 0.207)
O (0.793, 0.131, 0.375)
O (0.869, 0.207, 0.625)



Entry from Alexandria: a geometry-optimized LiMgP2O6 structure (PBE-GGA).

## Properties
The crystal system is monoclinic.

Lattice parameters (Å, degrees): 6.682 6.682 5.965 109.40 109.40 80.44
Fractional coordinates of all 20 atoms:
Li (0.131, 0.869, 0.750)
Li (0.869, 0.131, 0.250)
Mg (0.258, 0.742, 0.250)
Mg (0.742, 0.258, 0.750)
P (0.218, 0.371, 0.810)
P (0.371, 0.218, 0.310)
P (0.629, 0.782, 0.690)
P (0.782, 0.629, 0.190)
O (0.026, 0.231, 0.676)
O (0.164, 0.611, 0.866)
O (0.231, 0.026, 0.176)
O (0.299, 0.384, 0.153)
O (0.384, 0.299, 0.653)
O (0.389, 0.836, 0.634)
O (0.611, 0.164, 0.366)
O (0.616, 0.701, 0.347)
O (0.701, 0.616, 0.847)
O (0.769, 0.974, 0.824)
O (0.836, 0.389, 0.134)
O (0.974, 0.769, 0.324)



no.,formation energy from raw total energies (eV per atom)
1,-1.613
2,-2.375
3,-2.113